1.
DFT (GGA-PBE) results for crystalline Y7Sn2Te2 at its relaxed geometry.

Properties
space-group type	Cmmm, No. 65
raw formation energy	-481	meV/atom
magnetic moment	0.000	μB/atom
E	-64.83	eV per cell

Unit cell a=7.0195 b=7.1271 c=7.0195 alpha=89.99 beta=102.85 gamma=90.01
Closest atoms and distances in Å follow each position.
Element x y z (fractional)
Y (0.4999, 0.2758, 0.0000)  2 Te 2.96, 1 Y 3.20, 2 Sn 3.23
Y (0.5000, 0.2634, 0.5000)  2 Te 3.07, 2 Sn 3.26, 1 Y 3.37
Y (0.0000, 0.0000, 0.0000)  2 Te 3.05
Y (0.5001, 0.7242, 0.0000)  2 Te 2.96, 1 Y 3.20, 2 Sn 3.23
Y (0.0000, 0.7242, 0.4999)  2 Te 2.96, 1 Y 3.20, 2 Sn 3.23
Y (0.0000, 0.2758, 0.5001)  2 Te 2.96, 1 Y 3.20, 2 Sn 3.23
Y (0.5000, 0.7366, 0.5000)  2 Te 3.07, 2 Sn 3.26, 1 Y 3.37
Sn (0.8184, 0.5000, 0.8184)  1 Sn 3.18, 6 Y 3.23-3.26
Sn (0.1816, 0.5000, 0.1816)  1 Sn 3.18, 6 Y 3.23-3.26
Te (0.2782, 0.9999, 0.7218)  7 Y 2.96-3.07
Te (0.7218, 0.0001, 0.2782)  7 Y 2.96-3.07

=====

2.
DFT (GGA-PBE) results for crystalline Y3SnTe at its relaxed geometry.

Properties
energy above the lowest structure with this stoichiometry	634	meV/atom
space-group type	Pm-3m, No. 221
raw formation energy	-195	meV/atom
magnetic moment	0.000	μB/atom
E	-27.51	eV per cell

Unit cell a=5.5935 b=5.5935 c=5.5935 alpha=90.00 beta=90.00 gamma=90.00
Closest atoms and distances in Å follow each position.
Element x y z (fractional)
Y (0.0000, 0.5000, 0.0000)  2 Te 2.80
Y (0.0000, 0.0000, 0.5000)  2 Te 2.80
Y (0.5000, 0.0000, 0.0000)  2 Te 2.80
Te (0.0000, 0.0000, 0.0000)  6 Y 2.80
Sn (0.5000, 0.5000, 0.5000)  12 Y 3.96

=====

3.
DFT (GGA-PBE) results for crystalline YSn6Te8 at its relaxed geometry.

Properties
space-group type	P-3, No. 147
raw formation energy	-362	meV/atom
magnetic moment	0.000	μB/atom
E	-61.04	eV per cell

Unit cell a=6.3620 b=10.1458 c=10.1458 alpha=120.00 beta=90.00 gamma=90.00
Closest atoms and distances in Å follow each position.
Element x y z (fractional)
Sn (0.6693, 0.6758, 0.0759)  3 Te 2.97-2.99
Sn (0.6693, 0.9241, 0.5999)  3 Te 2.97-2.99
Sn (0.6693, 0.4001, 0.3242)  3 Te 2.97-2.99
Sn (0.3307, 0.0759, 0.4001)  3 Te 2.97-2.99
Sn (0.3307, 0.3242, 0.9241)  3 Te 2.97-2.99
Sn (0.3307, 0.5999, 0.6758)  3 Te 2.97-2.99
Te (0.7610, 0.7370, 0.7432)  2 Sn 2.97-2.99, 1 Y 3.12
Te (0.7610, 0.2568, 0.9938)  2 Sn 2.97-2.99, 1 Y 3.12
Te (0.2390, 0.9938, 0.7370)  2 Sn 2.97-2.99, 1 Y 3.12
Te (0.2390, 0.2630, 0.2568)  2 Sn 2.97-2.99, 1 Y 3.12
Te (0.7610, 0.0062, 0.2630)  2 Sn 2.97-2.99, 1 Y 3.12
Te (0.4550, 0.6667, 0.3333)  3 Sn 2.99
Te (0.2390, 0.7432, 0.0062)  2 Sn 2.97-2.99, 1 Y 3.12
Te (0.5450, 0.3333, 0.6667)  3 Sn 2.99
Y (0.5000, 0.0000, 0.0000)  6 Te 3.12

=====

4.
DFT (GGA-PBE) results for crystalline Y3SnTe6 at its relaxed geometry.

Properties
space-group type	Cmc2_1, No. 36
raw formation energy	-1045	meV/atom
magnetic moment	0.000	μB/atom
E	-105.39	eV per cell

Unit cell a=7.4838 b=9.6534 c=9.6534 alpha=102.40 beta=90.00 gamma=90.00
Closest atoms and distances in Å follow each position.
Element x y z (fractional)
Te (0.2304, 0.0936, 0.5449)  1 Sn 2.91, 2 Y 3.15-3.17
Te (0.1921, 0.0279, 0.9721)  1 Sn 2.95, 2 Y 3.28
Te (0.7304, 0.9064, 0.4551)  1 Sn 2.91, 2 Y 3.15-3.17
Te (0.6921, 0.9721, 0.0279)  1 Sn 2.95, 2 Y 3.28
Te (0.7304, 0.5449, 0.0936)  1 Sn 2.91, 2 Y 3.15-3.17
Te (0.6776, 0.2996, 0.3740)  4 Y 3.07-3.16
Te (0.1776, 0.7004, 0.6260)  4 Y 3.07-3.16
Te (0.6776, 0.6260, 0.7004)  4 Y 3.07-3.16
Te (0.1170, 0.7770, 0.2230)  1 Sn 3.01, 3 Y 3.10-3.30
Te (0.1776, 0.3740, 0.2996)  4 Y 3.07-3.16
Te (0.6170, 0.2230, 0.7770)  1 Sn 3.01, 3 Y 3.10-3.30
Te (0.2304, 0.4551, 0.9064)  1 Sn 2.91, 2 Y 3.15-3.17
Y (0.9818, 0.0873, 0.2808)  7 Te 3.07-3.31
Y (0.3798, 0.4076, 0.5924)  7 Te 3.09-3.30
Y (0.4818, 0.2808, 0.0873)  7 Te 3.07-3.31
Y (0.4818, 0.9127, 0.7192)  7 Te 3.07-3.31
Y (0.9818, 0.7192, 0.9127)  7 Te 3.07-3.31
Y (0.8798, 0.5924, 0.4076)  7 Te 3.09-3.30
Sn (0.5169, 0.7962, 0.2038)  4 Te 2.91-3.01
Sn (0.0169, 0.2038, 0.7962)  4 Te 2.91-3.01

=====

5.
DFT (GGA-PBE) results for crystalline YSn3Te at its relaxed geometry.

Properties
energy above the lowest structure with this stoichiometry	18	meV/atom
space-group type	Pm-3m, No. 221
raw formation energy	530	meV/atom
magnetic moment	0.000	μB/atom
E	-18.96	eV per cell

Unit cell a=5.8420 b=5.8420 c=5.8420 alpha=90.00 beta=90.00 gamma=90.00
Closest atoms and distances in Å follow each position.
Element x y z (fractional)
Y (0.0000, 0.0000, 0.0000)  6 Sn 2.92
Sn (0.0000, 0.0000, 0.5000)  2 Y 2.92
Sn (0.5000, 0.0000, 0.0000)  2 Y 2.92
Sn (0.0000, 0.5000, 0.0000)  2 Y 2.92
Te (0.5000, 0.5000, 0.5000)  12 Sn 4.13

=====

6.
DFT (GGA-PBE) results for crystalline YSn2Te at its relaxed geometry.

Properties
space-group type	I-42d, No. 122
raw formation energy	-240	meV/atom
magnetic moment	0.000	μB/atom
E	-37.14	eV per cell

Unit cell a=8.7193 b=8.7193 c=6.9104 alpha=50.88 beta=50.88 gamma=90.00
Closest atoms and distances in Å follow each position.
Element x y z (fractional)
Y (0.5000, 0.5000, 0.0000)  2 Te 3.12, 4 Sn 3.19
Y (0.2500, 0.7500, 0.5000)  2 Te 3.12, 4 Sn 3.19
Sn (0.8750, 0.8775, 0.7500)  2 Sn 3.12, 2 Te 3.17, 2 Y 3.19
Sn (0.6275, 0.1250, 0.2500)  2 Sn 3.12, 2 Te 3.17, 2 Y 3.19
Sn (0.3750, 0.3725, 0.7500)  2 Sn 3.12, 2 Te 3.17, 2 Y 3.19
Sn (0.1225, 0.6250, 0.2500)  2 Sn 3.12, 2 Te 3.17, 2 Y 3.19
Te (0.0000, 0.0000, 0.0000)  2 Y 3.12, 4 Sn 3.17
Te (0.7500, 0.2500, 0.5000)  2 Y 3.12, 4 Sn 3.17

=====

7.
DFT (GGA-PBE) results for crystalline Y5SnTe4 at its relaxed geometry.

Properties
space-group type	I4/m, No. 87
raw formation energy	-1253	meV/atom
magnetic moment	0.000	μB/atom
E	-61.42	eV per cell

Unit cell a=6.1730 b=7.5936 c=7.5936 alpha=80.49 beta=66.02 gamma=66.02
Closest atoms and distances in Å follow each position.
Element x y z (fractional)
Te (0.8039, 0.7936, 0.6005)  6 Y 3.09-3.15
Te (0.1980, 0.2064, 0.3995)  6 Y 3.09-3.15
Te (0.5975, 0.6005, 0.2064)  6 Y 3.09-3.15
Te (0.4044, 0.3995, 0.7936)  6 Y 3.09-3.15
Y (0.5015, 0.0000, 0.0000)  2 Sn 3.09, 4 Te 3.12
Y (0.7103, 0.1908, 0.3905)  1 Sn 3.02, 5 Te 3.09-3.15
Y (0.2915, 0.8092, 0.6095)  1 Sn 3.02, 5 Te 3.09-3.15
Y (0.1008, 0.6095, 0.1908)  1 Sn 3.02, 5 Te 3.09-3.15
Y (0.9011, 0.3905, 0.8092)  1 Sn 3.02, 5 Te 3.09-3.15
Sn (0.0015, 0.0000, 0.0000)  6 Y 3.02-3.09

=====

8.
DFT (GGA-PBE) results for crystalline YSn2Te2 at its relaxed geometry.

Properties
energy above the lowest structure with this stoichiometry	0	meV/atom
space-group type	P4/mbm, No. 127
raw formation energy	-414	meV/atom
magnetic moment	0.000	μB/atom
E	-45.65	eV per cell

Unit cell a=8.2751 b=8.2751 c=4.5287 alpha=90.00 beta=90.00 gamma=90.00
Closest atoms and distances in Å follow each position.
Element x y z (fractional)
Sn (0.3340, 0.1660, 0.5000)  2 Te 3.03
Sn (0.6660, 0.8340, 0.5000)  2 Te 3.03
Sn (0.8340, 0.3340, 0.5000)  2 Te 3.03
Sn (0.1660, 0.6660, 0.5000)  2 Te 3.03
Y (0.0000, 0.0000, 0.0000)  4 Te 3.10
Y (0.5000, 0.5000, 0.0000)  4 Te 3.10
Te (0.3377, 0.8377, 0.0000)  2 Sn 3.03, 2 Y 3.10
Te (0.8377, 0.6623, 0.0000)  2 Sn 3.03, 2 Y 3.10
Te (0.1623, 0.3377, 0.0000)  2 Sn 3.03, 2 Y 3.10
Te (0.6623, 0.1623, 0.0000)  2 Sn 3.03, 2 Y 3.10

=====

9.
DFT (GGA-PBE) results for crystalline Y4SnTe2 at its relaxed geometry.

Properties
energy above the lowest structure with this stoichiometry	0	meV/atom
space-group type	Cmcm, No. 63
raw formation energy	-953	meV/atom
magnetic moment	0.000	μB/atom
E	-85.63	eV per cell

Unit cell a=4.3260 b=7.2445 c=14.3586 alpha=90.00 beta=90.00 gamma=107.37
Closest atoms and distances in Å follow each position.
Element x y z (fractional)
Y (0.5000, 0.0000, 0.5000)  4 Te 3.04
Y (0.7802, 0.5605, 0.1313)  3 Te 2.98-3.07, 2 Sn 3.18
Y (0.9479, 0.8958, 0.7500)  2 Te 2.97, 2 Sn 3.06
Y (0.5000, 0.0000, 0.0000)  4 Te 3.04
Y (0.2198, 0.4395, 0.6313)  3 Te 2.98-3.07, 2 Sn 3.18
Y (0.2198, 0.4395, 0.8687)  3 Te 2.98-3.07, 2 Sn 3.18
Y (0.7802, 0.5605, 0.3687)  3 Te 2.98-3.07, 2 Sn 3.18
Y (0.0521, 0.1042, 0.2500)  2 Te 2.97, 2 Sn 3.06
Te (0.8594, 0.7188, 0.5618)  6 Y 2.97-3.07
Te (0.1406, 0.2812, 0.4382)  6 Y 2.97-3.07
Te (0.1406, 0.2812, 0.0618)  6 Y 2.97-3.07
Te (0.8594, 0.7188, 0.9382)  6 Y 2.97-3.07
Sn (0.6042, 0.2084, 0.7500)  6 Y 3.06-3.18
Sn (0.3958, 0.7916, 0.2500)  6 Y 3.06-3.18

=====

10.
DFT (GGA-PBE) results for crystalline Y2SnTe5 at its relaxed geometry.

Properties
space-group type	Cmcm, No. 63
raw formation energy	-861	meV/atom
magnetic moment	0.000	μB/atom
E	-79.05	eV per cell

Unit cell a=6.2332 b=8.1267 c=13.8331 alpha=90.00 beta=90.00 gamma=112.55
Closest atoms and distances in Å follow each position.
Element x y z (fractional)
Te (0.3203, 0.6406, 0.0821)  1 Sn 2.98, 3 Y 3.07-3.13
Te (0.6797, 0.3594, 0.5821)  1 Sn 2.98, 3 Y 3.07-3.13
Te (0.2792, 0.5584, 0.7500)  2 Y 3.02, 2 Sn 3.14
Te (0.3203, 0.6406, 0.4179)  1 Sn 2.98, 3 Y 3.07-3.13
Te (0.0328, 0.0655, 0.4007)  1 Te 2.92, 2 Y 3.06-3.08, 1 Sn 3.22
Te (0.9672, 0.9345, 0.5993)  1 Te 2.92, 2 Y 3.06-3.08, 1 Sn 3.22
Te (0.7208, 0.4416, 0.2500)  2 Y 3.02, 2 Sn 3.14
Te (0.0328, 0.0655, 0.0993)  1 Te 2.92, 2 Y 3.06-3.08, 1 Sn 3.22
Te (0.9672, 0.9345, 0.9007)  1 Te 2.92, 2 Y 3.06-3.08, 1 Sn 3.22
Te (0.6797, 0.3594, 0.9179)  1 Sn 2.98, 3 Y 3.07-3.13
Y (0.8309, 0.6618, 0.0675)  6 Te 3.02-3.13
Y (0.1691, 0.3382, 0.5675)  6 Te 3.02-3.13
Y (0.8309, 0.6618, 0.4325)  6 Te 3.02-3.13
Y (0.1691, 0.3382, 0.9325)  6 Te 3.02-3.13
Sn (0.8041, 0.6082, 0.7500)  6 Te 2.98-3.22
Sn (0.1959, 0.3918, 0.2500)  6 Te 2.98-3.22